Below is a relaxed ZnCoGeO4 crystal, with properties calculated at the PBE with a Hubbard U level.

a = 5.9427 Å, b = 5.9427 Å, c = 8.2825 Å
α = 90.00°, β = 90.00°, γ = 90.00°
Closest atoms and distances in Å follow each position.
Positions (direct):
Zn1 0.0000 0.2432 0.0000  6 O 2.04-2.15
Zn2 0.0000 0.7568 0.5000  6 O 2.04-2.15
Zn3 0.2432 0.0000 0.7500  6 O 2.04-2.15
Zn4 0.7568 0.0000 0.2500  6 O 2.04-2.15
Co1 0.2514 0.2514 0.3750  4 O 1.96-1.99
Co2 0.2514 0.7486 0.1250  4 O 1.96-1.99
Co3 0.7486 0.2514 0.6250  4 O 1.96-1.99
Co4 0.7486 0.7486 0.8750  4 O 1.96-1.99
Ge1 0.2472 0.5000 0.7500  6 O 1.88-1.96
Ge2 0.5000 0.2472 0.0000  6 O 1.88-1.96
Ge3 0.5000 0.7528 0.5000  6 O 1.88-1.96
Ge4 0.7528 0.5000 0.2500  6 O 1.88-1.96
O1 0.0309 0.2702 0.7465  1 Ge 1.88, 1 Co 1.96, 1 Zn 2.04
O2 0.0309 0.7298 0.7535  1 Ge 1.88, 1 Co 1.96, 1 Zn 2.04
O3 0.2702 0.0309 0.0035  1 Ge 1.88, 1 Co 1.96, 1 Zn 2.04
O4 0.2698 0.4817 0.9814  2 Ge 1.92-1.96, 1 Co 1.99, 1 Zn 2.15
O5 0.2698 0.5183 0.5186  2 Ge 1.92-1.96, 1 Co 1.99, 1 Zn 2.15
O6 0.2702 0.9691 0.4965  1 Ge 1.88, 1 Co 1.96, 1 Zn 2.04
O7 0.4817 0.2698 0.7686  2 Ge 1.92-1.96, 1 Co 1.99, 1 Zn 2.15
O8 0.4817 0.7302 0.7314  2 Ge 1.92-1.96, 1 Co 1.99, 1 Zn 2.15
O9 0.5183 0.2698 0.2314  2 Ge 1.92-1.96, 1 Co 1.99, 1 Zn 2.15
O10 0.5183 0.7302 0.2686  2 Ge 1.92-1.96, 1 Co 1.99, 1 Zn 2.15
O11 0.7298 0.0309 0.9965  1 Ge 1.88, 1 Co 1.96, 1 Zn 2.04
O12 0.7302 0.4817 0.0186  2 Ge 1.92-1.96, 1 Co 1.99, 1 Zn 2.15
O13 0.7302 0.5183 0.4814  2 Ge 1.92-1.96, 1 Co 1.99, 1 Zn 2.15
O14 0.7298 0.9691 0.5035  1 Ge 1.88, 1 Co 1.96, 1 Zn 2.04
O15 0.9691 0.2702 0.2535  1 Ge 1.88, 1 Co 1.96, 1 Zn 2.04
O16 0.9691 0.7298 0.2465  1 Ge 1.88, 1 Co 1.96, 1 Zn 2.04

Calculated values
final energy = -5.822 eV per atom
energy above the most stable polymorph in this dataset = 0.28 eV per formula unit